1.
Here is an optimized crystal structure of Ca5MnS6 from Alexandria. Energies are from PBE-GGA.

Properties
The value obtained for the formation energy from raw total energies is -178.7 kJ per mole of atoms. The calculation puts the mass density at 2.8 g cm⁻³. Its space group is C2/m.

Unit cell a=6.894 b=6.892 c=6.901 alpha=80.44 beta=60.03 gamma=70.58
Element x y z (fractional)
Ca: 0.833 0.500 0.334
Ca: 0.667 0.000 0.667
Ca: 0.500 0.500 0.000
Ca: 0.333 0.000 0.333
Ca: 0.167 0.500 0.666
Mn: 0.000 0.000 0.000
S: 0.403 0.756 0.678
S: 0.919 0.244 0.678
S: 0.239 0.240 0.000
S: 0.761 0.760 0.000
S: 0.081 0.756 0.322
S: 0.597 0.244 0.322

2.
Here is an optimized crystal structure of BaLi2La from Alexandria. Energies are from PBE-GGA.

Properties
For the offset from the most stable computed form, the calculation gives 63 meV per atom. As for the energy of formation: 181 meV/atom. The calculation puts the mass density at 3.4 g cm⁻³. Its space group is Pm.

Unit cell a=5.610 b=3.902 c=6.790 alpha=73.33 beta=90.00 gamma=90.00
Element x y z (fractional)
Ba: 0.000 0.465 0.447
La: 0.500 0.777 0.821
Li: 0.000 0.196 0.981
Li: 0.500 0.063 0.251

3.
Here is an optimized crystal structure of CaPmGa from Alexandria. Energies are from PBE-GGA.

Properties
For the offset from the most stable computed form, the calculation gives 93 meV per atom. As for the energy of formation: -331 meV/atom. The calculation puts the mass density at 4.8 g cm⁻³. Its space group is I4mm.

Unit cell a=3.627 b=3.627 c=7.225 alpha=104.54 beta=104.54 gamma=90.00
Element x y z (fractional)
Ca: 0.922 0.922 0.843
Ga: 0.279 0.279 0.557
Pm: 0.650 0.650 0.300

4.
Here is an optimized crystal structure of Mg3SnPd6 from Alexandria. Energies are from PBE-GGA.

Properties
As for the energy of formation: -625 meV/atom. The calculation puts the mass density at 8.5 g cm⁻³. Its space group is P2_1/m.

Unit cell a=4.240 b=8.405 c=9.225 alpha=97.19 beta=90.00 gamma=90.00
Element x y z (fractional)
Mg: 0.250 0.550 0.397
Mg: 0.750 0.450 0.603
Mg: 0.250 0.347 0.810
Mg: 0.750 0.653 0.190
Mg: 0.250 0.754 0.981
Mg: 0.750 0.246 0.019
Sn: 0.250 0.934 0.622
Sn: 0.750 0.066 0.378
Pd: 0.250 0.462 0.102
Pd: 0.750 0.538 0.898
Pd: 0.250 0.159 0.200
Pd: 0.750 0.841 0.800
Pd: 0.250 0.627 0.692
Pd: 0.750 0.373 0.308
Pd: 0.250 0.253 0.511
Pd: 0.750 0.747 0.489
Pd: 0.250 0.847 0.298
Pd: 0.750 0.153 0.702
Pd: 0.250 0.058 0.905
Pd: 0.750 0.942 0.095

5.
Here is an optimized crystal structure of Li3TiO3 from Alexandria. Energies are from PBE-GGA.

Properties
The value obtained for the formation energy from raw total energies is -202.8 kJ per mole of atoms. The calculation puts the mass density at 2.5 g cm⁻³. Its space group is C2/m.

Unit cell a=5.610 b=5.610 c=5.402 alpha=92.81 beta=92.81 gamma=114.17
Element x y z (fractional)
Li: 0.635 0.635 0.352
Li: 0.195 0.805 0.500
Li: 0.805 0.195 0.500
Li: 0.282 0.718 0.000
Li: 0.718 0.282 0.000
Li: 0.365 0.365 0.648
Ti: 0.791 0.791 0.864
Ti: 0.209 0.209 0.136
O: 0.905 0.905 0.222
O: 0.826 0.507 0.721
O: 0.507 0.826 0.721
O: 0.174 0.493 0.279
O: 0.493 0.174 0.279
O: 0.095 0.095 0.778

6.
Here is an optimized crystal structure of LaGe2RuPt from Alexandria. Energies are from PBE-GGA.

Properties
As for the energy of formation: -800 meV/atom. The calculation puts the mass density at 10.0 g cm⁻³. Its space group is I-4m2.

Unit cell a=4.231 b=4.231 c=6.143 alpha=110.14 beta=110.14 gamma=90.00
Element x y z (fractional)
La: 0.000 0.000 0.000
Ge: 0.625 0.625 0.250
Ge: 0.375 0.375 0.750
Ru: 0.750 0.250 0.500
Pt: 0.250 0.750 0.500

7.
Here is an optimized crystal structure of K5Tl2O from Alexandria. Energies are from PBE-GGA.

Properties
The value obtained for the formation energy from raw total energies is -38.4 kJ per mole of atoms. The calculation puts the mass density at 3.3 g cm⁻³. Its space group is Cm.

Unit cell a=6.267 b=7.773 c=7.774 alpha=80.57 beta=66.14 gamma=66.15
Element x y z (fractional)
K: 0.788 0.000 0.354
K: 0.142 0.646 0.000
K: 0.788 0.354 0.000
K: 0.142 0.000 0.646
K: 0.464 0.000 0.000
Tl: 0.717 0.500 0.500
Tl: 0.217 0.500 0.500
O: 0.965 0.000 0.000

8.
Here is an optimized crystal structure of CeU2TcN4 from Alexandria. Energies are from PBE-GGA.

Properties
The value obtained for the formation energy from raw total energies is -108.0 kJ per mole of atoms. The calculation puts the mass density at 11.3 g cm⁻³. Its space group is Cmcm.

Unit cell a=3.365 b=6.106 c=11.479 alpha=90.00 beta=90.00 gamma=105.99
Element x y z (fractional)
Ce: 0.104 0.209 0.750
Ce: 0.896 0.791 0.250
U: 0.369 0.738 0.554
U: 0.631 0.262 0.054
U: 0.631 0.262 0.446
U: 0.369 0.738 0.946
Tc: 0.844 0.688 0.750
Tc: 0.156 0.312 0.250
N: 0.274 0.549 0.114
N: 0.726 0.451 0.614
N: 0.726 0.451 0.886
N: 0.274 0.549 0.386
N: 0.000 0.000 0.500
N: 0.000 0.000 0.000
N: 0.453 0.907 0.750
N: 0.547 0.093 0.250

9.
Here is an optimized crystal structure of LiDy3Sn12 from Alexandria. Energies are from PBE-GGA.

Properties
As for the energy of formation: -356 meV/atom. The calculation puts the mass density at 7.7 g cm⁻³. Its space group is P4/mmm.

Unit cell a=4.652 b=4.652 c=19.113 alpha=90.00 beta=90.00 gamma=90.00
Element x y z (fractional)
Li: 0.000 0.000 0.000
Dy: 0.000 0.000 0.253
Dy: 0.000 0.000 0.500
Dy: 0.000 0.000 0.747
Sn: 0.500 0.500 0.000
Sn: 0.500 0.500 0.245
Sn: 0.500 0.500 0.500
Sn: 0.500 0.500 0.755
Sn: 0.500 0.000 0.121
Sn: 0.500 0.000 0.374
Sn: 0.500 0.000 0.626
Sn: 0.500 0.000 0.879
Sn: 0.000 0.500 0.121
Sn: 0.000 0.500 0.374
Sn: 0.000 0.500 0.626
Sn: 0.000 0.500 0.879

10.
Here is an optimized crystal structure of NaHRh3 from Alexandria. Energies are from PBE-GGA.

Properties
For the offset from the most stable computed form, the calculation gives 0 meV per atom. The calculation puts the mass density at 8.8 g cm⁻³. Its space group is Pm-3m.

Unit cell a=3.973 b=3.973 c=3.973 alpha=90.00 beta=90.00 gamma=90.00
Element x y z (fractional)
Na: 0.500 0.500 0.500
Rh: 0.000 0.500 0.000
Rh: 0.000 0.000 0.500
Rh: 0.500 0.000 0.000
H: 0.000 0.000 0.000

Please write out number 8 again, unchanged.
Here is an optimized crystal structure of CeU2TcN4 from Alexandria. Energies are from PBE-GGA.

Properties
The value obtained for the formation energy from raw total energies is -108.0 kJ per mole of atoms. The calculation puts the mass density at 11.3 g cm⁻³. Its space group is Cmcm.

Unit cell a=3.365 b=6.106 c=11.479 alpha=90.00 beta=90.00 gamma=105.99
Element x y z (fractional)
Ce: 0.104 0.209 0.750
Ce: 0.896 0.791 0.250
U: 0.369 0.738 0.554
U: 0.631 0.262 0.054
U: 0.631 0.262 0.446
U: 0.369 0.738 0.946
Tc: 0.844 0.688 0.750
Tc: 0.156 0.312 0.250
N: 0.274 0.549 0.114
N: 0.726 0.451 0.614
N: 0.726 0.451 0.886
N: 0.274 0.549 0.386
N: 0.000 0.000 0.500
N: 0.000 0.000 0.000
N: 0.453 0.907 0.750
N: 0.547 0.093 0.250

- Among the records above, which one has the highest mass density?
  CeU2TcN4

Repeat the fourth record exactly.
Here is an optimized crystal structure of Mg3SnPd6 from Alexandria. Energies are from PBE-GGA.

Properties
As for the energy of formation: -625 meV/atom. The calculation puts the mass density at 8.5 g cm⁻³. Its space group is P2_1/m.

Unit cell a=4.240 b=8.405 c=9.225 alpha=97.19 beta=90.00 gamma=90.00
Element x y z (fractional)
Mg: 0.250 0.550 0.397
Mg: 0.750 0.450 0.603
Mg: 0.250 0.347 0.810
Mg: 0.750 0.653 0.190
Mg: 0.250 0.754 0.981
Mg: 0.750 0.246 0.019
Sn: 0.250 0.934 0.622
Sn: 0.750 0.066 0.378
Pd: 0.250 0.462 0.102
Pd: 0.750 0.538 0.898
Pd: 0.250 0.159 0.200
Pd: 0.750 0.841 0.800
Pd: 0.250 0.627 0.692
Pd: 0.750 0.373 0.308
Pd: 0.250 0.253 0.511
Pd: 0.750 0.747 0.489
Pd: 0.250 0.847 0.298
Pd: 0.750 0.153 0.702
Pd: 0.250 0.058 0.905
Pd: 0.750 0.942 0.095

- Which of these has the highest mass density?
  CeU2TcN4